(1)
OsW2Se: optimized geometry, PBE.

a = 2.909 Å, b = 2.909 Å, c = 26.656 Å
α = 90.00°, β = 90.00°, γ = 120.00°
Atoms (fractional coordinates):
Os: 0.000 0.000 0.000
Os: 0.333 0.667 0.667
Os: 0.667 0.333 0.333
W: 0.000 0.000 0.501
W: 0.000 0.000 0.744
W: 0.333 0.667 0.167
W: 0.333 0.667 0.411
W: 0.667 0.333 0.077
W: 0.667 0.333 0.834
Se: 0.000 0.000 0.239
Se: 0.333 0.667 0.906
Se: 0.667 0.333 0.573

Output
**DOS(E_F)**: 8.78 states/eV per cell
**Energy relative to the elements, uncorrected**: 0.367 eV/atom
**Space-group type**: No. 160

=====

(2)
Os2WSe: optimized geometry, PBE.

a = 2.882 Å, b = 2.882 Å, c = 25.566 Å
α = 90.00°, β = 90.00°, γ = 120.00°
Atoms (fractional coordinates):
Os: 0.000 0.000 0.000
Os: 0.000 0.000 0.252
Os: 0.333 0.667 0.667
Os: 0.333 0.667 0.919
Os: 0.667 0.333 0.333
Os: 0.667 0.333 0.586
W: 0.000 0.000 0.498
W: 0.333 0.667 0.165
W: 0.667 0.333 0.831
Se: 0.000 0.000 0.753
Se: 0.333 0.667 0.420
Se: 0.667 0.333 0.087

Output
**DOS(E_F)**: 7.60 states/eV per cell
**Energy relative to the elements, uncorrected**: 0.429 eV/atom
**Space-group type**: No. 160

=====

energy relative to the elements, uncorrected of number 1 (OsW2Se)?
0.367 eV/atom

=====

Look up the DOS(E_F) of the second one.
7.60 states/eV per cell

=====

Among the records above, which one has the lowest energy relative to the elements, uncorrected?
OsW2Se

=====

What is the energy relative to the elements, uncorrected in the second record?
0.429 eV/atom